# TlCu2Si (GGA-PBE, optimized geometry)
# E_tot: -14.34 eV per formula unit
# energy above the lowest structure with this stoichiometry: 170.7 meV/atom
# ΔE_f (raw): 1.64 eV/f.u.
data_TlCu2Si
_space_group_name_H-M_alt 'P 1'
_space_group_IT_number 1
_cell_length_a 4.438
_cell_length_b 3.253
_cell_length_c 5.063
_cell_angle_alpha 90.00
_cell_angle_beta 113.30
_cell_angle_gamma 90.00
loop_
_space_group_symop_operation_xyz
'x,y,z'
loop_
_atom_site_label
_atom_site_type_symbol
_atom_site_fract_x
_atom_site_fract_y
_atom_site_fract_z
Tl1 Tl 0.000 0.000 0.000
Cu1 Cu 0.500 0.000 0.500
Cu2 Cu 0.500 0.500 0.000
Si1 Si 0.000 0.500 0.500